The following is a DFT calculation (PBE-GGA) of a relaxed Fe crystal.

Cell lengths 2.354, 2.354, 7.065 Å; angles 90.00, 90.00, 90.00 degrees
Element x y z (fractional)
1 Fe 0.000 0.000 0.000
2 Fe 0.000 0.000 0.334
3 Fe 0.000 0.000 0.666

uncorrected energy = -7.548 eV per formula unit
V = 13.05 Å³/atom
energy above the lowest structure with this stoichiometry = 761 meV/atom
E_form = 761 meV per atom